Entry 1:
DFT (PBE) results for an optimized crystal structure of Y2In2Ni.

abc: 7.1995 7.1995 5.0997
angles: 90.00 90.00 90.00
Closest atoms and distances in Å follow each position.
Space group P4/mbm (No. 127)
Asymmetric unit:
Y1 0.1644 0.3356 0.0000 x4  2 Ni 2.69
In1 0.1504 0.6504 0.5000 x4  1 In 3.06, 6 Y 3.17-3.41
Ni1 0.0000 0.0000 0.0000 x2  4 Y 2.69

Results
Its formation energy is -0.07 eV/atom. For the total magnetization, the calculation gives 0.000 μB per formula unit.

***

Entry 2:
DFT (PBE) results for an optimized crystal structure of YInNi2.

abc: 3.9889 3.7622 9.6807
angles: 90.00 90.00 90.00
Closest atoms and distances in Å follow each position.
Space group Amm2 (No. 38)
Asymmetric unit:
Y1 0.0000 0.0000 0.0000 x2  7 Ni 2.73-2.84
In1 0.5000 0.0000 0.7077 x2  7 Ni 2.76-2.83
Ni1 0.0000 0.0000 0.2821 x2  2 Ni 2.42
Ni2 0.5000 0.0000 0.4230 x2  2 Ni 2.42

Results
Its formation energy is -0.37 eV/atom. For the total magnetization, the calculation gives 0.000 μB per formula unit.

***

Entry 3:
DFT (PBE) results for an optimized crystal structure of Y2InNi.

abc: 5.0546 5.0546 3.6861
angles: 90.00 90.00 90.00
Closest atoms and distances in Å follow each position.
Space group P4/mmm (No. 123)
Asymmetric unit:
Y1 0.0000 0.5000 0.0000 x2  4 Ni 3.13, 4 In 3.13
In1 0.0000 0.0000 0.5000 x1  8 Y 3.13
Ni1 0.5000 0.5000 0.5000 x1  8 Y 3.13

Results
Its formation energy is -0.32 eV/atom. For the total magnetization, the calculation gives 0.000 μB per formula unit.

***

Entry 4:
DFT (PBE) results for an optimized crystal structure of Y2In2Ni.

abc: 5.2248 14.2648 3.2382
angles: 90.00 90.00 90.00
Closest atoms and distances in Å follow each position.
Space group Cmmm (No. 65)
Asymmetric unit:
Y1 0.0000 0.1837 0.0000 x4  1 Ni 2.62
In1 0.0000 0.3955 0.5000 x4  3 In 2.98-3.24, 4 Y 3.27
Ni1 0.0000 0.0000 0.0000 x2  2 Y 2.62

Results
Its formation energy is 0.09 eV/atom. For the total magnetization, the calculation gives 0.000 μB per formula unit.

***

Entry 5:
DFT (PBE) results for an optimized crystal structure of YInNi2.

abc: 4.5503 4.5503 3.3940
angles: 90.00 90.00 90.00
Closest atoms and distances in Å follow each position.
Space group P4/mmm (No. 123)
Asymmetric unit:
Y1 0.0000 0.0000 0.0000 x1  8 Ni 2.84
In1 0.5000 0.5000 0.0000 x1  8 Ni 2.84
Ni1 0.0000 0.5000 0.5000 x2  4 In 2.84, 4 Y 2.84

Results
Its formation energy is -0.25 eV/atom. For the total magnetization, the calculation gives 0.000 μB per formula unit.

***

Entry 6:
DFT (PBE) results for an optimized crystal structure of YInNi2.

abc: 3.2881 3.2881 6.6691
angles: 90.00 90.00 90.00
Closest atoms and distances in Å follow each position.
Space group P4mm (No. 99)
Asymmetric unit:
Y1 0.0000 0.0000 0.0000 x1  5 Ni 2.78-2.82
In1 0.5000 0.5000 0.3656 x1  5 Ni 2.63-2.74
Ni1 0.0000 0.0000 0.5833 x1  4 Ni 2.61, 4 In 2.74, 1 Y 2.78
Ni2 0.5000 0.5000 0.7595 x1  4 Ni 2.61, 1 In 2.63, 4 Y 2.82

Results
Its formation energy is -0.18 eV/atom. For the total magnetization, the calculation gives 0.000 μB per formula unit.

***

Entry 7:
DFT (PBE) results for an optimized crystal structure of YInNi.

abc: 3.3278 3.3278 11.1322
angles: 90.00 90.00 90.00
Closest atoms and distances in Å follow each position.
Space group I4mm (No. 107)
Asymmetric unit:
Y1 0.0000 0.0000 0.0000 x2  4 Ni 2.93, 1 In 3.20
In1 0.0000 0.0000 0.2879 x2  4 Ni 2.77
Ni1 0.0000 0.0000 0.6568 x2  4 In 2.77, 4 Y 2.93

Results
Its formation energy is -0.31 eV/atom. For the total magnetization, the calculation gives 0.000 μB per formula unit.

***

Entry 8:
DFT (PBE) results for an optimized crystal structure of YInNi2.

abc: 4.4598 4.4598 17.4953
angles: 90.00 90.00 90.00
Closest atoms and distances in Å follow each position.
Space group I-42d (No. 122)
Asymmetric unit:
Y1 0.0000 0.0000 0.0000 x4  4 Ni 3.08, 4 In 3.15
In1 0.0000 0.0000 0.5000 x4  4 Ni 2.48
Ni1 0.0839 0.2500 0.6250 x8  2 Ni 2.35, 2 In 2.48

Results
Its formation energy is 0.12 eV/atom. For the total magnetization, the calculation gives 0.000 μB per formula unit.

***

no.,density (g/cm3)
1,5.857
2,7.341
3,6.195
4,6.414
5,7.588
6,7.395
7,7.069
8,6.129